1.
# NpAlTl2Se5 | Alexandria | PBE | relaxed
# Crystal system: orthorhombic
data_NpAlTl2Se5
_cell_length_a 4.074
_cell_length_b 18.901
_cell_length_c 14.046
_cell_angle_alpha 90.00
_cell_angle_beta 90.00
_cell_angle_gamma 90.00
_space_group_name_H-M_alt 'C m c 21'
_space_group_IT_number 36
loop_
_space_group_symop_operation_xyz
'x,y,z'
'-x,-y,z+1/2'
'-x,y,z'
'x,-y,z+1/2'
'x+1/2,y+1/2,z'
'-x+1/2,-y+1/2,z+1/2'
'-x+1/2,y+1/2,z'
'x+1/2,-y+1/2,z+1/2'
loop_
_atom_site_label
_atom_site_fract_x
_atom_site_fract_y
_atom_site_fract_z
Np1 0.000 0.201 0.000
Al1 0.000 0.436 0.393
Tl1 0.000 0.114 0.648
Tl2 0.000 0.119 0.303
Se1 0.000 0.048 0.995
Se2 0.000 0.295 0.631
Se3 0.000 0.308 0.359
Se4 0.000 0.340 0.982
Se5 0.000 0.499 0.251

2.
# Ca2NpGa3Pt4 | Alexandria | PBE | relaxed
# ΔE_f, eV per atom: -0.736
# Crystal system: tetragonal
data_Ca2NpGa3Pt4
_cell_length_a 4.275
_cell_length_b 4.275
_cell_length_c 11.325
_cell_angle_alpha 90.00
_cell_angle_beta 90.00
_cell_angle_gamma 90.00
_space_group_name_H-M_alt 'P -4 m 2'
_space_group_IT_number 115
loop_
_space_group_symop_operation_xyz
'x,y,z'
'y,-x,-z'
'-x,-y,z'
'-y,x,-z'
'-x,y,z'
'-y,-x,-z'
'x,-y,z'
'y,x,-z'
loop_
_atom_site_label
_atom_site_fract_x
_atom_site_fract_y
_atom_site_fract_z
Ca1 0.000 0.500 0.229
Np1 0.000 0.000 0.500
Ga1 0.000 0.500 0.876
Ga2 0.500 0.500 0.500
Pt1 0.000 0.000 0.000
Pt2 0.000 0.500 0.656
Pt3 0.500 0.500 0.000

3.
# BaSnAu5 | Alexandria | PBE | relaxed
# ΔE_f, eV per atom: -0.407
# Crystal system: orthorhombic
data_BaSnAu5
_cell_length_a 9.590
_cell_length_b 5.767
_cell_length_c 11.546
_cell_angle_alpha 90.00
_cell_angle_beta 90.00
_cell_angle_gamma 90.00
_space_group_name_H-M_alt 'P n m a'
_space_group_IT_number 62
loop_
_space_group_symop_operation_xyz
'x,y,z'
'-x,-y,-z'
'-x+1/2,-y,z+1/2'
'x+1/2,y,-z+1/2'
'x+1/2,-y+1/2,-z+1/2'
'-x+1/2,y+1/2,z+1/2'
'-x,y+1/2,-z'
'x,-y+1/2,z'
loop_
_atom_site_label
_atom_site_fract_x
_atom_site_fract_y
_atom_site_fract_z
Ba1 0.245 0.250 0.057
Sn1 0.146 0.750 0.851
Au1 0.073 0.750 0.080
Au2 0.077 0.004 0.301
Au3 0.080 0.250 0.518
Au4 0.169 0.250 0.762

4.
# Y5NpRu6 | Alexandria | PBE | relaxed
# ΔE_f, eV per atom: -0.310
# Crystal system: orthorhombic
data_Y5NpRu6
_cell_length_a 4.871
_cell_length_b 6.847
_cell_length_c 14.212
_cell_angle_alpha 90.00
_cell_angle_beta 90.00
_cell_angle_gamma 90.00
_space_group_name_H-M_alt 'I m m m'
_space_group_IT_number 71
_space_group_name_Hall '-I 2 2'
loop_
_atom_site_label
_atom_site_fract_x
_atom_site_fract_y
_atom_site_fract_z
Y1 0.000 0.000 0.000
Y2 0.000 0.000 0.326
Y3 0.000 0.500 0.337
Np1 0.000 0.500 0.000
Ru1 0.000 0.227 0.500
Ru2 0.000 0.271 0.153

5.
# BeFe2Ru | Alexandria | PBE | relaxed
# ΔE_f, eV per atom: 0.071
# Crystal system: monoclinic
data_BeFe2Ru
_cell_length_a 2.521
_cell_length_b 3.949
_cell_length_c 4.737
_cell_angle_alpha 90.00
_cell_angle_beta 98.77
_cell_angle_gamma 90.00
_space_group_name_H-M_alt 'P 1 m 1'
_space_group_IT_number 6
loop_
_space_group_symop_operation_xyz
'x,y,z'
'x,-y,z'
loop_
_atom_site_label
_atom_site_fract_x
_atom_site_fract_y
_atom_site_fract_z
Be1 0.000 0.000 0.000
Fe1 0.596 0.000 0.486
Fe2 0.870 0.500 0.254
Ru1 0.322 0.500 0.772

6.
# ScRhAu4 | Alexandria | PBE | relaxed
# ΔE_f, eV per atom: -0.384
# Crystal system: monoclinic
data_ScRhAu4
_cell_length_a 5.122
_cell_length_b 8.745
_cell_length_c 5.075
_cell_angle_alpha 90.00
_cell_angle_beta 112.70
_cell_angle_gamma 90.00
_space_group_name_H-M_alt 'C 1 2/m 1'
_space_group_IT_number 12
loop_
_space_group_symop_operation_xyz
'x,y,z'
'-x,-y,-z'
'-x,y,-z'
'x,-y,z'
'x+1/2,y+1/2,z'
'-x+1/2,-y+1/2,-z'
'-x+1/2,y+1/2,-z'
'x+1/2,-y+1/2,z'
loop_
_atom_site_label
_atom_site_fract_x
_atom_site_fract_y
_atom_site_fract_z
Sc1 0.000 0.000 0.000
Rh1 0.000 0.500 0.500
Au1 0.000 0.167 0.500
Au2 0.000 0.336 0.000

7.
# KBa2ZnIr | Alexandria | PBE | relaxed
# ΔE_f, eV per atom: -0.011
# Crystal system: tetragonal
data_KBa2ZnIr
_cell_length_a 6.168
_cell_length_b 6.168
_cell_length_c 5.132
_cell_angle_alpha 90.00
_cell_angle_beta 90.00
_cell_angle_gamma 90.00
_space_group_name_H-M_alt 'P 4/m m m'
_space_group_IT_number 123
_space_group_name_Hall '-P 4 2'
loop_
_atom_site_label
_atom_site_fract_x
_atom_site_fract_y
_atom_site_fract_z
K1 0.000 0.000 0.000
Ba1 0.000 0.500 0.500
Zn1 0.500 0.500 0.000
Ir1 0.500 0.500 0.500

8.
# FeOsPt3 | Alexandria | PBE | relaxed
# ΔE_f, eV per atom: 1.548
# Crystal system: cubic
data_FeOsPt3
_cell_length_a 4.487
_cell_length_b 4.487
_cell_length_c 4.487
_cell_angle_alpha 90.00
_cell_angle_beta 90.00
_cell_angle_gamma 90.00
_space_group_name_H-M_alt 'P m -3 m'
_space_group_IT_number 221
_space_group_name_Hall '-P 4 2 3'
loop_
_atom_site_label
_atom_site_fract_x
_atom_site_fract_y
_atom_site_fract_z
Fe1 0.000 0.000 0.000
Os1 0.500 0.500 0.500
Pt1 0.000 0.000 0.500

9.
# BSF | Alexandria | PBE | relaxed
# Crystal system: triclinic
data_BSF
_cell_length_a 2.986
_cell_length_b 4.570
_cell_length_c 4.642
_cell_angle_alpha 98.14
_cell_angle_beta 90.17
_cell_angle_gamma 90.18
_space_group_name_H-M_alt 'P 1'
_space_group_IT_number 1
loop_
_space_group_symop_operation_xyz
'x,y,z'
loop_
_atom_site_label
_atom_site_fract_x
_atom_site_fract_y
_atom_site_fract_z
B1 0.000 0.000 0.000
S1 0.502 0.173 0.175
F1 0.998 0.781 0.778

10.
# La2Zr | Alexandria | PBE | relaxed
# ΔE_f, eV per atom: 0.155
# Crystal system: monoclinic
data_La2Zr
_cell_length_a 7.008
_cell_length_b 7.010
_cell_length_c 15.592
_cell_angle_alpha 90.00
_cell_angle_beta 102.85
_cell_angle_gamma 90.00
_space_group_name_H-M_alt 'C 1 2/c 1'
_space_group_IT_number 15
loop_
_space_group_symop_operation_xyz
'x,y,z'
'-x,-y,-z'
'-x,y,-z+1/2'
'x,-y,z+1/2'
'x+1/2,y+1/2,z'
'-x+1/2,-y+1/2,-z'
'-x+1/2,y+1/2,-z+1/2'
'x+1/2,-y+1/2,z+1/2'
loop_
_atom_site_label
_atom_site_fract_x
_atom_site_fract_y
_atom_site_fract_z
La1 0.085 0.125 0.420
La2 0.250 0.125 0.751
Zr1 0.089 0.375 0.930

11.
# YInBr2F | Alexandria | PBE | relaxed
# Crystal system: tetragonal
data_YInBr2F
_cell_length_a 5.361
_cell_length_b 5.361
_cell_length_c 6.647
_cell_angle_alpha 90.00
_cell_angle_beta 90.00
_cell_angle_gamma 90.00
_space_group_name_H-M_alt 'P 4/m m m'
_space_group_IT_number 123
_space_group_name_Hall '-P 4 2'
loop_
_atom_site_label
_atom_site_fract_x
_atom_site_fract_y
_atom_site_fract_z
Y1 0.000 0.000 0.000
In1 0.000 0.000 0.500
Br1 0.000 0.500 0.000
F1 0.500 0.500 0.500

12.
# In2IrPb | Alexandria | PBE | relaxed
# ΔE_f, eV per atom: 0.017
# Crystal system: orthorhombic
data_In2IrPb
_cell_length_a 3.106
_cell_length_b 4.601
_cell_length_c 13.651
_cell_angle_alpha 90.00
_cell_angle_beta 90.00
_cell_angle_gamma 90.00
_space_group_name_H-M_alt 'I m m 2'
_space_group_IT_number 44
loop_
_space_group_symop_operation_xyz
'x,y,z'
'-x,-y,z'
'-x,y,z'
'x,-y,z'
'x+1/2,y+1/2,z+1/2'
'-x+1/2,-y+1/2,z+1/2'
'-x+1/2,y+1/2,z+1/2'
'x+1/2,-y+1/2,z+1/2'
loop_
_atom_site_label
_atom_site_fract_x
_atom_site_fract_y
_atom_site_fract_z
In1 0.000 0.000 0.000
In2 0.000 0.500 0.177
Ir1 0.000 0.000 0.504
Pb1 0.000 0.500 0.815

13.
# Li5PbAu2 | Alexandria | PBE | relaxed
# ΔE_f, eV per atom: -0.427
# Crystal system: tetragonal
data_Li5PbAu2
_cell_length_a 4.546
_cell_length_b 4.546
_cell_length_c 13.121
_cell_angle_alpha 90.00
_cell_angle_beta 90.00
_cell_angle_gamma 90.00
_space_group_name_H-M_alt 'I 4/m m m'
_space_group_IT_number 139
_space_group_name_Hall '-I 4 2'
loop_
_atom_site_label
_atom_site_fract_x
_atom_site_fract_y
_atom_site_fract_z
Li1 0.000 0.000 0.000
Li2 0.000 0.500 0.139
Pb1 0.000 0.000 0.500
Au1 0.000 0.000 0.248

14.
# Tl3Hg4Bi | Alexandria | PBE | relaxed
# ΔE_f, eV per atom: 0.022
# Crystal system: orthorhombic
data_Tl3Hg4Bi
_cell_length_a 3.228
_cell_length_b 10.691
_cell_length_c 13.915
_cell_angle_alpha 90.00
_cell_angle_beta 90.00
_cell_angle_gamma 90.00
_space_group_name_H-M_alt 'I m m m'
_space_group_IT_number 71
_space_group_name_Hall '-I 2 2'
loop_
_atom_site_label
_atom_site_fract_x
_atom_site_fract_y
_atom_site_fract_z
Tl1 0.000 0.000 0.000
Tl2 0.000 0.500 0.229
Hg1 0.000 0.265 0.375
Bi1 0.000 0.000 0.500

15.
# Ac3AlSn5 | Alexandria | PBE | relaxed
# ΔE_f, eV per atom: -0.426
# Crystal system: hexagonal
data_Ac3AlSn5
_cell_length_a 9.8075
_cell_length_b 9.8075
_cell_length_c 6.6767
_cell_angle_alpha 90.00
_cell_angle_beta 90.00
_cell_angle_gamma 120.00
_space_group_name_H-M_alt 'P 63/m c m'
_space_group_IT_number 193
_space_group_name_Hall '-P 6c 2'
loop_
_atom_site_label
_atom_site_fract_x
_atom_site_fract_y
_atom_site_fract_z
Ac1 0.0000 0.3827 0.2500
Al1 0.0000 0.0000 0.0000
Sn1 0.0000 0.2610 0.7500
Sn2 0.3333 0.6667 0.0000

16.
# PrDyHo2 | Alexandria | PBE | relaxed
# ΔE_f, eV per atom: 0.001
# Crystal system: trigonal
data_PrDyHo2
_cell_length_a 3.5916
_cell_length_b 3.5916
_cell_length_c 11.5258
_cell_angle_alpha 90.00
_cell_angle_beta 90.00
_cell_angle_gamma 120.00
_space_group_name_H-M_alt 'P -3 m 1'
_space_group_IT_number 164
_space_group_name_Hall '-P 3 2"'
loop_
_atom_site_label
_atom_site_fract_x
_atom_site_fract_y
_atom_site_fract_z
Pr1 0.0000 0.0000 0.0000
Dy1 0.0000 0.0000 0.5000
Ho1 0.3333 0.6667 0.7461

17.
# Rb2GaAu2 | Alexandria | PBE | relaxed
# ΔE_f, eV per atom: -0.143
# Crystal system: tetragonal
data_Rb2GaAu2
_cell_length_a 7.376
_cell_length_b 7.376
_cell_length_c 5.568
_cell_angle_alpha 90.00
_cell_angle_beta 90.00
_cell_angle_gamma 90.00
_space_group_name_H-M_alt 'P 4/m b m'
_space_group_IT_number 127
_space_group_name_Hall '-P 4 2ab'
loop_
_atom_site_label
_atom_site_fract_x
_atom_site_fract_y
_atom_site_fract_z
Rb1 0.171 0.329 0.000
Ga1 0.000 0.000 0.500
Au1 0.143 0.643 0.500

18.
# NbBi3As | Alexandria | PBE | relaxed
# ΔE_f, eV per atom: 1.108
# Crystal system: cubic
data_NbBi3As
_cell_length_a 5.464
_cell_length_b 5.464
_cell_length_c 5.464
_cell_angle_alpha 90.00
_cell_angle_beta 90.00
_cell_angle_gamma 90.00
_space_group_name_H-M_alt 'P m -3 m'
_space_group_IT_number 221
_space_group_name_Hall '-P 4 2 3'
loop_
_atom_site_label
_atom_site_fract_x
_atom_site_fract_y
_atom_site_fract_z
Nb1 0.000 0.000 0.000
Bi1 0.000 0.500 0.500
As1 0.500 0.500 0.500

19.
# TlSe2Br | Alexandria | PBE | relaxed
# Crystal system: trigonal
data_TlSe2Br
_cell_length_a 4.1868
_cell_length_b 4.1868
_cell_length_c 21.2041
_cell_angle_alpha 90.00
_cell_angle_beta 90.00
_cell_angle_gamma 120.00
_space_group_name_H-M_alt 'R -3 m'
_space_group_IT_number 166
_space_group_name_Hall '-R 3 2"'
loop_
_atom_site_label
_atom_site_fract_x
_atom_site_fract_y
_atom_site_fract_z
Tl1 0.0000 0.0000 0.0000
Se1 0.0000 0.0000 0.2597
Br1 0.0000 0.0000 0.5000

20.
# NbCd3C | Alexandria | PBE | relaxed
# ΔE_f, eV per atom: 1.246
# Crystal system: cubic
data_NbCd3C
_cell_length_a 4.567
_cell_length_b 4.567
_cell_length_c 4.567
_cell_angle_alpha 90.00
_cell_angle_beta 90.00
_cell_angle_gamma 90.00
_space_group_name_H-M_alt 'P m -3 m'
_space_group_IT_number 221
_space_group_name_Hall '-P 4 2 3'
loop_
_atom_site_label
_atom_site_fract_x
_atom_site_fract_y
_atom_site_fract_z
Nb1 0.000 0.000 0.000
Cd1 0.000 0.500 0.500
C1 0.500 0.500 0.500

21.
# Cs2BiAuBr6 | Alexandria | PBE | relaxed
# Crystal system: cubic
data_Cs2BiAuBr6
_cell_length_a 11.442
_cell_length_b 11.442
_cell_length_c 11.442
_cell_angle_alpha 90.00
_cell_angle_beta 90.00
_cell_angle_gamma 90.00
_space_group_name_H-M_alt 'F m -3 m'
_space_group_IT_number 225
_space_group_name_Hall '-F 4 2 3'
loop_
_atom_site_label
_atom_site_fract_x
_atom_site_fract_y
_atom_site_fract_z
Cs1 0.250 0.250 0.250
Bi1 0.000 0.000 0.000
Au1 0.000 0.000 0.500
Br1 0.000 0.000 0.253

22.
# Pm5Dy2Er | Alexandria | PBE | relaxed
# ΔE_f, eV per atom: 0.223
# Crystal system: monoclinic
data_Pm5Dy2Er
_cell_length_a 6.205
_cell_length_b 28.208
_cell_length_c 6.530
_cell_angle_alpha 90.00
_cell_angle_beta 107.43
_cell_angle_gamma 90.00
_space_group_name_H-M_alt 'C 1 2/c 1'
_space_group_IT_number 15
loop_
_space_group_symop_operation_xyz
'x,y,z'
'-x,-y,-z'
'-x,y,-z+1/2'
'x,-y,z+1/2'
'x+1/2,y+1/2,z'
'-x+1/2,-y+1/2,-z'
'-x+1/2,y+1/2,-z+1/2'
'x+1/2,-y+1/2,z+1/2'
loop_
_atom_site_label
_atom_site_fract_x
_atom_site_fract_y
_atom_site_fract_z
Pm1 0.000 0.097 0.250
Pm2 0.204 0.391 0.096
Pm3 0.237 0.309 0.498
Dy1 0.000 0.000 0.000
Dy2 0.250 0.250 0.000
Er1 0.000 0.486 0.750

23.
# Ag2HgO4 | Alexandria | PBE | relaxed
# Crystal system: orthorhombic
data_Ag2HgO4
_cell_length_a 5.646
_cell_length_b 10.357
_cell_length_c 3.246
_cell_angle_alpha 90.00
_cell_angle_beta 90.00
_cell_angle_gamma 90.00
_space_group_name_H-M_alt 'C m m m'
_space_group_IT_number 65
_space_group_name_Hall '-C 2 2'
loop_
_atom_site_label
_atom_site_fract_x
_atom_site_fract_y
_atom_site_fract_z
Ag1 0.000 0.181 0.000
Hg1 0.000 0.500 0.500
O1 0.249 0.500 0.000
O2 0.250 0.250 0.500

Calculated total energy: -5.038 -5.754 -3.594 -8.719 -7.410 -4.849 -3.026 -6.015 -5.666 -5.979 -3.961 -4.494 -2.906 -1.501 -4.435 -4.633 -2.447 -4.164 -2.626 -3.162 -2.917 -4.467 -3.498 (eV/atom)